# 1
First-principles (PBE) data for crystalline Re3IO at its relaxed geometry, as listed in Alexandria.

For the formation energy from raw total energies, the calculation gives 130.2 kJ/mol of atoms. The calculation puts the polymorph energy (0 for the lowest one) at 0 meV/atom.

a = 4.2279 Å, b = 4.2279 Å, c = 4.2279 Å
α = 90.00°, β = 90.00°, γ = 90.00°
Closest atoms and distances in Å follow each position.
Space group Pm-3m (No. 221)
Symmetry-distinct sites (fractional):
Re  0.0000  0.0000  0.5000 [3 per cell]  2 O 2.11
I  0.5000  0.5000  0.5000 [1 per cell]  12 Re 2.99
O  0.0000  0.0000  0.0000 [1 per cell]  6 Re 2.11


# 2
First-principles (PBE) data for crystalline NiAg2Ru at its relaxed geometry, as listed in Alexandria.

The calculation puts the polymorph energy (0 for the lowest one) at 165 meV/atom.

a = 9.1018 Å, b = 2.7023 Å, c = 5.0451 Å
α = 90.00°, β = 99.92°, γ = 90.00°
Closest atoms and distances in Å follow each position.
Space group Cm (No. 8)
Symmetry-distinct sites (fractional):
Ni  0.0000  0.0000  0.0000 [2 per cell]  3 Ru 2.55-2.73, 2 Ni 2.70, 4 Ag 2.73-2.83
Ag  0.2505  0.0000  0.7093 [2 per cell]  5 Ag 2.69-2.81, 4 Ru 2.76-2.97, 3 Ni 2.83-2.92
Ag  0.4914  0.0000  0.4676 [2 per cell]  5 Ag 2.69-2.81, 4 Ni 2.73-3.00, 3 Ru 2.84-2.87
Ru  0.2338  0.5000  0.1812 [2 per cell]  3 Ni 2.55-2.73, 2 Ru 2.70, 3 Ag 2.76-2.84


# 3
First-principles (PBE) data for crystalline Pr5SmYEr2 at its relaxed geometry, as listed in Alexandria.

The total energy is -171.53 eV per cell.

a = 5.6784 Å, b = 20.6826 Å, c = 10.7772 Å
α = 90.00°, β = 90.00°, γ = 90.00°
Closest atoms and distances in Å follow each position.
Space group Cmc2_1 (No. 36)
Symmetry-distinct sites (fractional):
Pr  0.0000  0.0143  0.0000 [4 per cell]  2 Y 3.32, 3 Er 3.51-3.61
Pr  0.0000  0.2795  0.2931 [4 per cell]  1 Y 3.11, 1 Er 3.40, 2 Pr 3.43
Pr  0.0000  0.2951  0.6868 [4 per cell]  2 Pr 3.43, 1 Y 3.49, 3 Sm 3.53-3.83, 3 Er 3.57-3.81
Pr  0.0000  0.3868  0.0050 [4 per cell]  6 Pr 3.59-3.92, 4 Er 3.66-3.68, 1 Sm 3.86
Pr  0.0000  0.4825  0.7267 [4 per cell]  2 Y 3.27-3.42, 2 Er 3.55, 2 Pr 3.59-3.61
Sm  0.0000  0.2003  0.9921 [4 per cell]  2 Er 3.44-3.66, 7 Pr 3.53-3.85, 2 Y 3.64
Y  0.0000  0.4074  0.4445 [4 per cell]  5 Pr 3.11-3.42
Er  0.0000  0.1118  0.7220 [4 per cell]  1 Sm 3.44, 7 Pr 3.54-3.81, 2 Y 3.74
Er  0.0000  0.1153  0.2903 [4 per cell]  9 Pr 3.40-3.76, 1 Sm 3.66


# 4
First-principles (PBE) data for crystalline In4SnBi4 at its relaxed geometry, as listed in Alexandria.

The total energy is -59.73 eV per cell.

a = 10.6958 Å, b = 10.6958 Å, c = 4.6600 Å
α = 90.00°, β = 90.00°, γ = 90.00°
Closest atoms and distances in Å follow each position.
Space group I4/m (No. 87)
Symmetry-distinct sites (fractional):
In  0.1595  0.8330  0.0000 [8 per cell]  5 Bi 3.37-3.44, 2 Sn 3.40, 4 In 3.49-3.51
Sn  0.0000  0.0000  0.5000 [2 per cell]  8 In 3.40, 4 Bi 3.51
Bi  0.0133  0.3283  0.5000 [8 per cell]  5 In 3.37-3.44, 5 Bi 3.50-3.68, 1 Sn 3.51


# 5
First-principles (PBE) data for crystalline CrC5 at its relaxed geometry, as listed in Alexandria.

The calculation puts the polymorph energy (0 for the lowest one) at 2324 meV/atom.

a = 5.7273 Å, b = 5.7273 Å, c = 5.7273 Å
α = 90.00°, β = 90.00°, γ = 90.00°
Closest atoms and distances in Å follow each position.
Space group F-43m (No. 216)
Symmetry-distinct sites (fractional):
Cr  0.0000  0.0000  0.0000 [4 per cell]  16 C 2.44-2.48
C  0.0965  0.0965  0.4035 [16 per cell]  3 C 1.56
C  0.2500  0.2500  0.7500 [4 per cell]  12 C 2.34, 4 Cr 2.48


# 6
First-principles (PBE) data for crystalline Ce2Ge3Pt5 at its relaxed geometry, as listed in Alexandria.

The calculation puts the polymorph energy (0 for the lowest one) at 0 meV/atom.

a = 4.3951 Å, b = 23.8965 Å, c = 7.0251 Å
α = 90.00°, β = 90.00°, γ = 90.00°
Closest atoms and distances in Å follow each position.
Space group Cmc2_1 (No. 36)
Symmetry-distinct sites (fractional):
Ce  0.0000  0.0224  0.0000 [4 per cell]  7 Pt 2.94-3.23, 6 Ge 3.03-3.22
Ce  0.0000  0.3254  0.9803 [4 per cell]  6 Pt 2.95-3.24, 4 Ge 2.97-3.25
Ge  0.0000  0.1031  0.3336 [4 per cell]  4 Pt 2.55-2.63
Ge  0.0000  0.2762  0.4115 [4 per cell]  4 Pt 2.48-2.57
Ge  0.0000  0.4463  0.1868 [4 per cell]  5 Pt 2.58-2.71
Pt  0.0000  0.1103  0.7069 [4 per cell]  3 Ge 2.58-2.63, 1 Pt 2.81
Pt  0.0000  0.1917  0.1308 [4 per cell]  4 Ge 2.55-2.82
Pt  0.0000  0.2278  0.7236 [4 per cell]  3 Ge 2.48-2.57
Pt  0.0000  0.3791  0.4756 [4 per cell]  2 Ge 2.50-2.59
Pt  0.0000  0.4502  0.8009 [4 per cell]  4 Ge 2.55-2.71, 1 Pt 2.85


# 7
First-principles (PBE) data for crystalline Cr2FeHg at its relaxed geometry, as listed in Alexandria.

The total energy is -50.45 eV per cell.

a = 5.2284 Å, b = 8.0394 Å, c = 2.6382 Å
α = 90.00°, β = 90.00°, γ = 90.00°
Closest atoms and distances in Å follow each position.
Space group Cmmm (No. 65)
Symmetry-distinct sites (fractional):
Cr  0.2500  0.2500  0.0000 [4 per cell]  4 Cr 2.61-2.64, 4 Fe 2.74, 4 Hg 2.74
Fe  0.0000  0.0000  0.5000 [2 per cell]  2 Hg 2.61, 2 Fe 2.64, 8 Cr 2.74
Hg  0.0000  0.5000  0.5000 [2 per cell]  2 Fe 2.61, 2 Hg 2.64, 8 Cr 2.74


# 8
First-principles (PBE) data for crystalline MnTl2Br at its relaxed geometry, as listed in Alexandria.

For the formation energy from raw total energies, the calculation gives 16.4 kJ/mol of atoms. The calculation puts the polymorph energy (0 for the lowest one) at 186 meV/atom.

a = 3.7154 Å, b = 3.7154 Å, c = 7.6231 Å
α = 90.00°, β = 90.00°, γ = 90.00°
Closest atoms and distances in Å follow each position.
Space group P4/mmm (No. 123)
Symmetry-distinct sites (fractional):
Mn  0.0000  0.0000  0.0000 [1 per cell]  8 Tl 3.10
Tl  0.5000  0.5000  0.2164 [2 per cell]  4 Mn 3.10, 1 Tl 3.30, 4 Br 3.40
Br  0.0000  0.0000  0.5000 [1 per cell]  8 Tl 3.40, 4 Br 3.72


# 9
First-principles (PBE) data for crystalline LiTmGe at its relaxed geometry, as listed in Alexandria.

The total energy is -39.37 eV per cell.

a = 6.9550 Å, b = 6.9550 Å, c = 4.2319 Å
α = 90.00°, β = 90.00°, γ = 120.00°
Closest atoms and distances in Å follow each position.
Space group P-62m (No. 189)
Symmetry-distinct sites (fractional):
Li  0.0000  0.7672  0.0000 [3 per cell]  4 Ge 2.66-2.74, 2 Li 2.80
Tm  0.0000  0.4272  0.5000 [3 per cell]  5 Ge 2.96-2.97, 2 Li 3.17
Ge  0.0000  0.0000  0.5000 [1 per cell]  6 Li 2.66, 3 Tm 2.97
Ge  0.3333  0.6667  0.0000 [2 per cell]  3 Li 2.74, 6 Tm 2.96


# 10
First-principles (PBE) data for crystalline HoGaPd4 at its relaxed geometry, as listed in Alexandria.

The total energy is -63.09 eV per cell.

a = 8.8209 Å, b = 3.2551 Å, c = 8.4567 Å
α = 90.00°, β = 115.50°, γ = 90.00°
Closest atoms and distances in Å follow each position.
Space group C2/m (No. 12)
Symmetry-distinct sites (fractional):
Ho  0.0000  0.0000  0.0000 [2 per cell]  8 Pd 2.78-2.82
Ga  0.0000  0.5000  0.5000 [2 per cell]  6 Pd 2.56-2.57
Pd  0.1389  0.0000  0.3682 [4 per cell]  2 Ga 2.56, 2 Pd 2.77, 1 Ho 2.81
Pd  0.1515  0.5000  0.8364 [4 per cell]  1 Ga 2.57, 3 Ho 2.78-2.82